PBE TlSnSb, optimized geometry; uncorrected energy = -3.473 eV/atom; excess energy over the best structure of this formula in the dataset = 30.5 meV/atom; mass density = 8416 kg/m3; symmetry = P3m1; total moment = 0.000 μB/atom; crystal system = trigonal; ΔE_f (raw) = 0.024 eV per atom
1.0
-1.325 -2.460 -1.831
5.055 -1.688 -1.389
-2.443 -2.032 4.499
Sn Sb Tl
1 1 1
Cartesian
-0.224 -0.415 -0.309 Sn
-0.162 -2.323 2.235 Sb
1.673 -3.443 -0.647 Tl

PBE Tl2Sn2Sb, optimized geometry; uncorrected energy = -3.184 eV/atom; excess energy over the best structure of this formula in the dataset = 35.7 meV/atom; mass density = 8121 kg/m3; symmetry = I4/mmm; total moment = 0.000 μB/atom; crystal system = tetragonal; ΔE_f (raw) = 0.188 eV per atom
1.0
-3.188 2.143 -2.003
0.923 -2.076 -3.689
-6.509 -6.032 -0.777
Sn Sb Tl
2 1 2
Cartesian
-2.063 -1.017 -2.488 Sn
-6.712 -4.949 -3.981 Sn
0.000 0.000 0.000 Sb
-3.360 -4.038 -3.656 Tl
-5.415 -1.928 -2.813 Tl

PBE YTlSnSb2, optimized geometry; uncorrected energy = -3.620 eV/atom; mass density = 5988 kg/m3; symmetry = P4/mmm; total moment = 0.000 μB/atom; crystal system = tetragonal; ΔE_f (raw) = 0.595 eV per atom
1.0
-3.808 -3.096 -2.749
2.125 -4.759 2.415
-3.579 0.584 4.300
Sb Tl Sn Y
2 1 1 1
Cartesian
-1.790 0.292 2.150 Sb
-1.904 -1.548 -1.375 Sb
0.000 0.000 0.000 Tl
-2.631 -3.636 1.983 Sn
1.063 -2.380 1.208 Y

PBE TlZnSn2Sb, optimized geometry; uncorrected energy = -2.498 eV/atom; mass density = 4962 kg/m3; symmetry = P4/mmm; total moment = 0.000 μB/atom; crystal system = tetragonal; ΔE_f (raw) = 0.656 eV per atom
1.0
-0.150 1.834 5.480
-6.193 1.026 -0.513
-1.042 -5.401 1.779
Tl Sb Sn Zn
1 1 2 1
Cartesian
-3.096 0.513 -0.257 Tl
0.000 0.000 0.000 Sb
-0.521 -2.700 0.889 Sn
-0.075 0.917 2.740 Sn
-3.693 -1.270 3.373 Zn